1.
First-principles (PBE-GGA) data for crystalline RbScTi at its relaxed geometry, as listed in the Alexandria database.

The space group is P-1 (No. 2) and the conventional cell measures 4.092, 4.277 and 13.343 Å, with angles of 98.97, 90.11 and 90.00 degrees. The inequivalent atoms are Rb at (0.248, 0.336, 0.160), Sc at (0.251, 0.046, 0.594) and Ti at (0.250, 0.470, 0.439).

Its total energy is -4.721 eV per atom. The value obtained for the magnetic moment is 0.00 Bohr magnetons per cell. As for the formation energy: 0.344 eV per atom.

***

2.
First-principles (PBE-GGA) data for crystalline RbScTi at its relaxed geometry, as listed in the Alexandria database.

The space group is F-43m (No. 216) and the conventional cell measures 7.737, 7.737 and 7.737 Å, with angles of 90.00, 90.00 and 90.00 degrees. The inequivalent atoms are Rb at (0.000, 0.000, 0.000), Sc at (0.000, 0.000, 0.500) and Ti at (0.250, 0.250, 0.750).

Its total energy is -3.598 eV per atom. The value obtained for the magnetic moment is 20.47 Bohr magnetons per cell. As for the formation energy: 1.466 eV per atom.

***

3.
First-principles (PBE-GGA) data for crystalline Rb2ScTi at its relaxed geometry, as listed in the Alexandria database.

The space group is Fm-3m (No. 225) and the conventional cell measures 8.849, 8.849 and 8.849 Å, with angles of 90.00, 90.00 and 90.00 degrees. The inequivalent atoms are Rb at (0.250, 0.250, 0.250), Sc at (0.000, 0.000, 0.000) and Ti at (0.000, 0.000, 0.500).

Its total energy is -2.639 eV per atom. The value obtained for the magnetic moment is 18.92 Bohr magnetons per cell. As for the formation energy: 1.402 eV per atom.

***

4.
First-principles (PBE-GGA) data for crystalline Rb3ScTi at its relaxed geometry, as listed in the Alexandria database.

The space group is Pm-3m (No. 221) and the conventional cell measures 6.900, 6.900 and 6.900 Å, with angles of 90.00, 90.00 and 90.00 degrees. The inequivalent atoms are Rb at (0.000, 0.000, 0.500), Sc at (0.500, 0.500, 0.500) and Ti at (0.000, 0.000, 0.000).

Its total energy is -2.031 eV per atom. The value obtained for the magnetic moment is 5.92 Bohr magnetons per cell. As for the formation energy: 1.395 eV per atom.